First-principles (GGA-PBE) data for a relaxed structure of CeCd2In3, as listed in Alexandria.

Lattice parameters (Å, degrees): 15.7699 6.4618 6.4666 90.00 90.00 90.00
Space group Cmcm (No. 63)
Unique sites:
Ce: 0.0000 0.2427 0.2500 (multiplicity 4)
Cd: 0.1515 0.5000 0.0000 (multiplicity 8)
In: 0.0000 0.2595 0.7500 (multiplicity 4)
In: 0.1809 0.0088 0.2500 (multiplicity 8)

E (eV/cell): -65.44
Calculated formation energy (meV/atom): -63


First-principles (GGA-PBE) data for a relaxed structure of CeCdIn3, as listed in Alexandria.

Lattice parameters (Å, degrees): 7.1844 7.1844 6.1808 90.00 90.00 120.00
Space group P6_3/mmc (No. 194)
Unique sites:
Ce: 0.3333 0.6667 0.2500 (multiplicity 2)
Cd: 0.0000 0.0000 0.0000 (multiplicity 2)
In: 0.1975 0.3951 0.7500 (multiplicity 6)

E (eV/cell): -30.72
Calculated formation energy (meV/atom): -59


First-principles (GGA-PBE) data for a relaxed structure of Ce6Cd5In, as listed in Alexandria.

Lattice parameters (Å, degrees): 16.2089 6.3931 5.9189 90.00 93.92 90.00
Space group C2/m (No. 12)
Unique sites:
Ce: 0.0000 0.2236 0.0000 (multiplicity 4)
Ce: 0.1741 0.2280 0.3620 (multiplicity 8)
Cd: 0.0000 0.0000 0.5000 (multiplicity 2)
Cd: 0.1621 0.5000 0.8548 (multiplicity 4)
Cd: 0.1717 0.0000 0.8563 (multiplicity 4)
In: 0.0000 0.5000 0.5000 (multiplicity 2)

E (eV/cell): -90.90
Calculated formation energy (meV/atom): -211